[1]
Pm3AuBr3 after structural relaxation, computed with PBE-GGA.

raw formation energy = -127 kJ per mole of atoms

```
data_Pm3AuBr3
_chemical_formula_sum 'Pm24 Au8 Br24'
_space_group_name_H-M_alt 'I 41 3 2'
_space_group_IT_number 214
_space_group_name_Hall 'I 4bd 2c 3'
_cell_length_a 12.129
_cell_length_b 12.129
_cell_length_c 12.129
_cell_angle_alpha 90.00
_cell_angle_beta 90.00
_cell_angle_gamma 90.00
loop_
_atom_site_label
_atom_site_type_symbol
_atom_site_fract_x
_atom_site_fract_y
_atom_site_fract_z
Pm1 Pm 0.115 0.365 0.125
Au1 Au 0.125 0.125 0.125
Br1 Br 0.121 0.129 0.625
```

[2]
LiTe2Au after structural relaxation, computed with PBE-GGA.

raw formation energy = -32 kJ per mole of atoms

```
data_LiTe2Au
_chemical_formula_sum 'Li1 Te2 Au1'
_space_group_name_H-M_alt 'P 1 2/m 1'
_space_group_IT_number 10
_cell_length_a 5.756
_cell_length_b 3.949
_cell_length_c 7.213
_cell_angle_alpha 90.00
_cell_angle_beta 112.21
_cell_angle_gamma 90.00
loop_
_space_group_symop_operation_xyz
'x,y,z'
'-x,-y,-z'
'-x,y,-z'
'x,-y,z'
loop_
_atom_site_label
_atom_site_type_symbol
_atom_site_fract_x
_atom_site_fract_y
_atom_site_fract_z
Li1 Li 0.000 0.000 0.000
Te1 Te 0.414 0.500 0.221
Au1 Au 0.500 0.000 0.000
```

[3]
KCu2 after structural relaxation, computed with PBE-GGA.

ΔE_f = 31.48 kJ/mol of atoms

```
data_KCu2
_chemical_formula_sum 'K2 Cu4'
_space_group_name_H-M_alt 'I m m m'
_space_group_IT_number 71
_space_group_name_Hall '-I 2 2'
_cell_length_a 2.836
_cell_length_b 3.974
_cell_length_c 11.439
_cell_angle_alpha 90.00
_cell_angle_beta 90.00
_cell_angle_gamma 90.00
loop_
_atom_site_label
_atom_site_type_symbol
_atom_site_fract_x
_atom_site_fract_y
_atom_site_fract_z
K1 K 0.000 0.000 0.000
Cu1 Cu 0.000 0.000 0.270
```

[4]
Sc5TiN6 after structural relaxation, computed with PBE-GGA.

raw formation energy = -183 kJ per mole of atoms

```
data_Sc5TiN6
_chemical_formula_sum 'Sc10 Ti2 N12'
_space_group_name_H-M_alt 'C 1 2/m 1'
_space_group_IT_number 12
_cell_length_a 5.468
_cell_length_b 9.464
_cell_length_c 5.468
_cell_angle_alpha 90.00
_cell_angle_beta 109.47
_cell_angle_gamma 90.00
loop_
_space_group_symop_operation_xyz
'x,y,z'
'-x,-y,-z'
'-x,y,-z'
'x,-y,z'
'x+1/2,y+1/2,z'
'-x+1/2,-y+1/2,-z'
'-x+1/2,y+1/2,-z'
'x+1/2,-y+1/2,z'
loop_
_atom_site_label
_atom_site_type_symbol
_atom_site_fract_x
_atom_site_fract_y
_atom_site_fract_z
Sc1 Sc 0.000 0.000 0.000
Sc2 Sc 0.000 0.167 0.500
Sc3 Sc 0.000 0.334 0.000
Ti1 Ti 0.000 0.500 0.500
N1 N 0.242 0.500 0.256
N2 N 0.243 0.338 0.744
```

[5]
PuPa2Ge2Ru5 after structural relaxation, computed with PBE-GGA.

ΔE_f = -33.67 kJ/mol of atoms

```
data_PuPa2Ge2Ru5
_chemical_formula_sum 'Pu2 Pa4 Ge4 Ru10'
_space_group_name_H-M_alt 'P 4/m b m'
_space_group_IT_number 127
_space_group_name_Hall '-P 4 2ab'
_cell_length_a 9.955
_cell_length_b 9.955
_cell_length_c 3.638
_cell_angle_alpha 90.00
_cell_angle_beta 90.00
_cell_angle_gamma 90.00
loop_
_atom_site_label
_atom_site_type_symbol
_atom_site_fract_x
_atom_site_fract_y
_atom_site_fract_z
Pu1 Pu 0.000 0.000 0.000
Pa1 Pa 0.173 0.327 0.000
Ge1 Ge 0.124 0.624 0.000
Ru1 Ru 0.000 0.500 0.500
Ru2 Ru 0.073 0.789 0.500
```

[6]
SrScH3 after structural relaxation, computed with PBE-GGA.

electronic total energy = -3.36 eV per atom

```
data_SrScH3
_chemical_formula_sum 'Sr1 Sc1 H3'
_space_group_name_H-M_alt 'P m -3 m'
_space_group_IT_number 221
_space_group_name_Hall '-P 4 2 3'
_cell_length_a 4.336
_cell_length_b 4.336
_cell_length_c 4.336
_cell_angle_alpha 90.00
_cell_angle_beta 90.00
_cell_angle_gamma 90.00
loop_
_atom_site_label
_atom_site_type_symbol
_atom_site_fract_x
_atom_site_fract_y
_atom_site_fract_z
Sr1 Sr 0.000 0.000 0.000
Sc1 Sc 0.500 0.500 0.500
H1 H 0.000 0.000 0.500
```

[7]
Na2Hf2InSe6 after structural relaxation, computed with PBE-GGA.

raw formation energy = -110 kJ per mole of atoms

```
data_Na2Hf2InSe6
_chemical_formula_sum 'Na4 Hf4 In2 Se12'
_space_group_name_H-M_alt 'C 1 2/m 1'
_space_group_IT_number 12
_cell_length_a 6.830
_cell_length_b 12.014
_cell_length_c 7.380
_cell_angle_alpha 90.00
_cell_angle_beta 107.39
_cell_angle_gamma 90.00
loop_
_space_group_symop_operation_xyz
'x,y,z'
'-x,-y,-z'
'-x,y,-z'
'x,-y,z'
'x+1/2,y+1/2,z'
'-x+1/2,-y+1/2,-z'
'-x+1/2,y+1/2,-z'
'x+1/2,-y+1/2,z'
loop_
_atom_site_label
_atom_site_type_symbol
_atom_site_fract_x
_atom_site_fract_y
_atom_site_fract_z
Na1 Na 0.000 0.159 0.000
Hf1 Hf 0.000 0.332 0.500
In1 In 0.000 0.000 0.500
Se1 Se 0.215 0.500 0.717
Se2 Se 0.246 0.177 0.718
```

[8]
ZrRe2Si after structural relaxation, computed with PBE-GGA.

raw formation energy = 5 kJ per mole of atoms

```
data_ZrRe2Si
_chemical_formula_sum 'Zr3 Re6 Si3'
_space_group_name_H-M_alt 'R 3 m'
_space_group_IT_number 160
_space_group_name_Hall 'R 3 -2"'
_cell_length_a 2.8682
_cell_length_b 2.8682
_cell_length_c 27.3539
_cell_angle_alpha 90.00
_cell_angle_beta 90.00
_cell_angle_gamma 120.00
loop_
_atom_site_label
_atom_site_type_symbol
_atom_site_fract_x
_atom_site_fract_y
_atom_site_fract_z
Zr1 Zr 0.0000 0.0000 0.0000
Re1 Re 0.0000 0.0000 0.5044
Re2 Re 0.0000 0.0000 0.7609
Si1 Si 0.0000 0.0000 0.2444
```

[9]
Ta2BeIr after structural relaxation, computed with PBE-GGA.

ΔE_f = -22.78 kJ/mol of atoms

```
data_Ta2BeIr
_chemical_formula_sum 'Ta2 Be1 Ir1'
_space_group_name_H-M_alt 'P m m m'
_space_group_IT_number 47
_cell_length_a 3.813
_cell_length_b 3.889
_cell_length_c 4.089
_cell_angle_alpha 90.00
_cell_angle_beta 90.00
_cell_angle_gamma 90.00
loop_
_space_group_symop_operation_xyz
'x,y,z'
'-x,-y,-z'
'-x,-y,z'
'x,y,-z'
'x,-y,-z'
'-x,y,z'
'-x,y,-z'
'x,-y,z'
loop_
_atom_site_label
_atom_site_type_symbol
_atom_site_fract_x
_atom_site_fract_y
_atom_site_fract_z
Ta1 Ta 0.000 0.000 0.000
Ta2 Ta 0.500 0.000 0.500
Be1 Be 0.000 0.500 0.500
Ir1 Ir 0.500 0.500 0.000
```

[10]
Sm2ErCo2 after structural relaxation, computed with PBE-GGA.

ΔE_f = -8.82 kJ/mol of atoms

```
data_Sm2ErCo2
_chemical_formula_sum 'Sm8 Er4 Co8'
_space_group_name_H-M_alt 'P 4/m n c'
_space_group_IT_number 128
_space_group_name_Hall '-P 4 2n'
_cell_length_a 7.247
_cell_length_b 7.247
_cell_length_c 8.513
_cell_angle_alpha 90.00
_cell_angle_beta 90.00
_cell_angle_gamma 90.00
loop_
_atom_site_label
_atom_site_type_symbol
_atom_site_fract_x
_atom_site_fract_y
_atom_site_fract_z
Sm1 Sm 0.175 0.325 0.000
Er1 Er 0.000 0.000 0.250
Co1 Co 0.110 0.610 0.250
```

[11]
PtRhAu2 after structural relaxation, computed with PBE-GGA.

ΔE_f = 16.25 kJ/mol of atoms

```
data_PtRhAu2
_chemical_formula_sum 'Pt2 Rh2 Au4'
_space_group_name_H-M_alt 'C m m m'
_space_group_IT_number 65
_space_group_name_Hall '-C 2 2'
_cell_length_a 2.820
_cell_length_b 4.847
_cell_length_c 9.741
_cell_angle_alpha 90.00
_cell_angle_beta 90.00
_cell_angle_gamma 90.00
loop_
_atom_site_label
_atom_site_type_symbol
_atom_site_fract_x
_atom_site_fract_y
_atom_site_fract_z
Pt1 Pt 0.000 0.000 0.000
Rh1 Rh 0.000 0.000 0.500
Au1 Au 0.000 0.500 0.254
```

[12]
Al4PIr after structural relaxation, computed with PBE-GGA.

ΔE_f = 27.64 kJ/mol of atoms

```
data_Al4PIr
_chemical_formula_sum 'Al16 P4 Ir4'
_space_group_name_H-M_alt 'F -4 3 m'
_space_group_IT_number 216
_space_group_name_Hall 'F -4 2 3'
_cell_length_a 7.192
_cell_length_b 7.192
_cell_length_c 7.192
_cell_angle_alpha 90.00
_cell_angle_beta 90.00
_cell_angle_gamma 90.00
loop_
_atom_site_label
_atom_site_type_symbol
_atom_site_fract_x
_atom_site_fract_y
_atom_site_fract_z
Al1 Al 0.125 0.125 0.125
P1 P 0.000 0.000 0.500
Ir1 Ir 0.250 0.250 0.750
```